[1]
A plane-wave DFT calculation with GGA-PBE was carried out for a relaxed NaTl12Hg6 crystal.

a b c (Å): 9.039 9.039 9.039
angles (deg): 110.19 110.19 110.19
Fractional positions:
Na: 0.000 0.000 0.000
Tl: 0.919 0.409 0.615
Tl: 0.099 0.160 0.733
Tl: 0.081 0.591 0.385
Tl: 0.385 0.081 0.591
Tl: 0.267 0.901 0.840
Tl: 0.409 0.615 0.919
Tl: 0.901 0.840 0.267
Tl: 0.840 0.267 0.901
Tl: 0.160 0.733 0.099
Tl: 0.591 0.385 0.081
Tl: 0.615 0.919 0.409
Tl: 0.733 0.099 0.160
Hg: 0.203 0.306 0.455
Hg: 0.306 0.455 0.203
Hg: 0.545 0.797 0.694
Hg: 0.455 0.203 0.306
Hg: 0.694 0.545 0.797
Hg: 0.797 0.694 0.545

Properties
formation energy = -12 meV per atom
polymorph energy (0 for the lowest one) = 0.0 kJ/mol of formula units
mass density = 11.051 g cm⁻³
space-group type = R-3



[2]
A plane-wave DFT calculation with GGA-PBE was carried out for a relaxed La5ThSn4 crystal.

a b c (Å): 5.609 7.303 11.405
angles (deg): 128.61 104.24 90.00
Fractional positions:
Th: 0.500 0.000 0.000
La: 0.167 0.325 0.335
La: 0.500 0.500 0.000
La: 0.835 0.164 0.670
La: 0.833 0.675 0.665
La: 0.165 0.836 0.330
Sn: 0.993 0.741 0.985
Sn: 0.007 0.259 0.015
Sn: 0.327 0.902 0.653
Sn: 0.673 0.098 0.347

Properties
formation energy = -546 meV per atom
mass density = 6.716 g cm⁻³
space-group type = C2/m



[3]
A plane-wave DFT calculation with GGA-PBE was carried out for a relaxed TlTc2Pt crystal.

a b c (Å): 4.177 2.862 6.471
angles (deg): 63.65 90.00 90.00
Fractional positions:
Tl: 0.500 0.250 0.250
Tc: 0.000 0.454 0.547
Tc: 0.000 0.046 0.953
Pt: 0.500 0.750 0.750

Properties
formation energy = 426 meV per atom
polymorph energy (0 for the lowest one) = 89.6 kJ/mol of formula units
mass density = 14.267 g cm⁻³
space-group type = P2/m



[4]
A plane-wave DFT calculation with GGA-PBE was carried out for a relaxed In2Re crystal.

a b c (Å): 2.855 7.254 7.228
angles (deg): 90.00 90.00 90.00
Fractional positions:
In: 0.000 0.734 0.266
In: 0.500 0.234 0.234
In: 0.000 0.266 0.734
In: 0.500 0.766 0.766
Re: 0.000 0.000 0.000
Re: 0.500 0.500 0.500

Properties
formation energy = 606 meV per atom
mass density = 9.224 g cm⁻³
space-group type = Pnnm